Here is an optimized crystal structure of SiGe2Te from the Alexandria database. Energies are from PBE-GGA.

Theoretical density: 4.74 Mg/m³
Final energy: -4.167 eV per atom
E_form (uncorrected): 1.1 eV per formula unit
Space group: I-42d (122)

a b c (Å): 6.557 6.557 6.751
angles (deg): 60.95 60.95 90.00
Positions (direct):
Ge: 0.375 0.425 0.750
Si: 0.250 0.750 0.500
Te: 0.000 0.000 0.000
Ge: 0.875 0.825 0.750
Te: 0.750 0.250 0.500
Ge: 0.575 0.125 0.250
Ge: 0.175 0.625 0.250
Si: 0.500 0.500 0.000